Record 1
Crystalline Pm2TlPd5 at its relaxed geometry. Source: the Alexandria database, functional PBE.

As for the size of the total moment: 0.00 Bohr magnetons per cell. As for the formation enthalpy at 0 K: -0.6119 eV per atom. The energy is -5.341 eV per atom.

The structure belongs to space group I4mm (No. 107); the cell edges are 6.1856, 6.1856 and 8.3335 Å and the angles 90.00°, 90.00° and 90.00°. The distinct sites, in fractional coordinates, are Pm at (0.0000, 0.5000, 0.0000), Tl at (0.0000, 0.0000, 0.4327), Pd at (0.0000, 0.0000, 0.0016) and Pd at (0.2317, 0.2317, 0.7413).


Record 2
Crystalline TbTmPu2 at its relaxed geometry. Source: the Alexandria database, functional PBE.

As for the offset from the most stable computed form: 8.0 meV/atom. As for the size of the total moment: 35.96 Bohr magnetons per cell. As for the formation enthalpy at 0 K: 0.1753 eV per atom. The energy is -9.266 eV per atom.

The structure belongs to space group R-3m (No. 166, hexagonal axes); the cell edges are 3.4275, 3.4275 and 34.0704 Å and the angles 90.00°, 90.00° and 120.00°. The distinct sites, in fractional coordinates, are Tb at (0.0000, 0.0000, 0.0000), Tm at (0.0000, 0.0000, 0.5000) and Pu at (0.0000, 0.0000, 0.2493).


Record 3
Crystalline Tb3ErCd at its relaxed geometry. Source: the Alexandria database, functional PBE.

As for the offset from the most stable computed form: 0.0 meV/atom. As for the size of the total moment: 0.00 Bohr magnetons per cell. As for the formation enthalpy at 0 K: -0.0246 eV per atom. The energy is -3.898 eV per atom.

The structure belongs to space group C2/m (No. 12); the cell edges are 21.6544, 3.5167 and 8.3128 Å and the angles 90.00°, 107.53° and 90.00°. The distinct sites, in fractional coordinates, are Tb at (0.0133, 0.0000, 0.2296), Tb at (0.1211, 0.5000, 0.0500), Tb at (0.1758, 0.0000, 0.4420), Er at (0.2302, 0.5000, 0.8173) and Cd at (0.0770, 0.5000, 0.5972).


Record 4
Crystalline La4NiSbI2 at its relaxed geometry. Source: the Alexandria database, functional PBE.

As for the size of the total moment: 0.00 Bohr magnetons per cell. The energy is -5.017 eV per atom. For the formation energy from raw total energies, the calculation gives -0.9277 eV/atom.

The structure belongs to space group P2/m (No. 10); the cell edges are 8.0666, 4.2818 and 8.1683 Å and the angles 90.00°, 106.75° and 90.00°. The distinct sites, in fractional coordinates, are La at (0.2008, 0.0000, 0.1912), La at (0.2449, 0.5000, 0.7831), Ni at (0.0000, 0.5000, 0.0000), Sb at (0.5000, 0.0000, 0.0000), I at (0.0000, 0.0000, 0.5000) and I at (0.5000, 0.5000, 0.5000).


Record 5
Crystalline VBSe4 at its relaxed geometry. Source: the Alexandria database, functional PBE.

As for the size of the total moment: 0.00 Bohr magnetons per cell. The energy is -5.004 eV per atom. For the formation energy from raw total energies, the calculation gives -0.0482 eV/atom.

The structure belongs to space group C2/m (No. 12); the cell edges are 12.5656, 4.8852 and 10.1902 Å and the angles 90.00°, 101.51° and 90.00°. The distinct sites, in fractional coordinates, are V at (0.2022, 0.0000, 0.2081), B at (0.0929, 0.0000, 0.7920), Se at (0.0579, 0.0000, 0.3262), Se at (0.1080, 0.5000, 0.7924), Se at (0.1110, 0.0000, 0.9986) and Se at (0.2357, 0.0000, 0.7257).


Record 6
Crystalline Pa2Ge4PtRh3 at its relaxed geometry. Source: the Alexandria database, functional PBE.

As for the size of the total moment: 0.00 Bohr magnetons per cell. As for the formation enthalpy at 0 K: -0.7324 eV per atom. The energy is -7.288 eV per atom.

The structure belongs to space group P-4m2 (No. 115); the cell edges are 4.2004, 4.2004 and 10.1645 Å and the angles 90.00°, 90.00° and 90.00°. The distinct sites, in fractional coordinates, are Pa at (0.0000, 0.5000, 0.2467), Ge at (0.0000, 0.0000, 0.0000), Ge at (0.0000, 0.5000, 0.6384), Ge at (0.5000, 0.5000, 0.0000), Pt at (0.0000, 0.0000, 0.5000), Rh at (0.0000, 0.5000, 0.8722) and Rh at (0.5000, 0.5000, 0.5000).


Record 7
Crystalline CsInH6Ru at its relaxed geometry. Source: the Alexandria database, functional PBE.

As for the size of the total moment: 0.00 Bohr magnetons per cell. The energy is -3.801 eV per atom.

The structure belongs to space group P312 (No. 149); the cell edges are 4.7458, 4.7458 and 6.6854 Å and the angles 90.00°, 90.00° and 120.00°. The distinct sites, in fractional coordinates, are Cs at (0.0000, 0.0000, 0.0000), In at (0.3333, 0.6667, 0.5000), H at (0.3759, 0.0920, 0.6642) and Ru at (0.6667, 0.3333, 0.5000).


Record 8
Crystalline Be2FeAs at its relaxed geometry. Source: the Alexandria database, functional PBE.

As for the offset from the most stable computed form: 397.7 meV/atom. As for the size of the total moment: 5.70 Bohr magnetons per cell. As for the formation enthalpy at 0 K: 0.4032 eV per atom. The energy is -4.738 eV per atom.

The structure belongs to space group Fm-3m (No. 225); the cell edges are 5.6001, 5.6001 and 5.6001 Å and the angles 90.00°, 90.00° and 90.00°. The distinct sites, in fractional coordinates, are Be at (0.2500, 0.2500, 0.2500), Fe at (0.0000, 0.0000, 0.0000) and As at (0.0000, 0.0000, 0.5000).


> Which of these has the highest size of the total moment?

TbTmPu2